This record from Alexandria describes Hg2PbW after structural relaxation. The functional is GGA-PBE.

## Properties
The calculation puts the total energy at -14.6 eV per cell. The energy of formation comes out at 0.676 eV per atom. As for the size of the total moment: 0.0 μB per formula unit. The calculation puts the density of states at the Fermi level at 0.503 states/eV/atom.

Cell lengths 10.886, 10.886, 10.886 Å; angles 16.40, 16.40, 16.40 degrees
Atoms (fractional coordinates):
1 W 0.750 0.750 0.750
2 Hg 0.011 0.011 0.011
3 Pb 0.250 0.250 0.250
4 Hg 0.489 0.489 0.489